[1]
Entry from Alexandria via LeMat-Bulk: a relaxed PmMg2Sc3 crystal (GGA-PBE).

Unit cell a=3.4909 b=3.4909 c=12.4459 alpha=90.00 beta=90.00 gamma=90.00
Element x y z (fractional)
Pm  0.5000  0.5000  0.5000
Mg  0.5000  0.5000  0.8482
Mg  0.5000  0.5000  0.1518
Sc  0.0000  0.0000  0.0000
Sc  0.0000  0.0000  0.6930
Sc  0.0000  0.0000  0.3070

=====

[2]
Entry from Alexandria via LeMat-Bulk: a relaxed PmMg14Sc crystal (GGA-PBE).

Unit cell a=6.8948 b=6.8948 c=7.9466 alpha=90.00 beta=90.00 gamma=89.99
Element x y z (fractional)
Pm  0.3750  0.3750  0.5000
Mg  0.8750  0.8750  0.0000
Mg  0.3750  0.3750  0.0000
Mg  0.8750  0.3750  0.5000
Mg  0.8750  0.3750  0.0000
Mg  0.3750  0.8750  0.5000
Mg  0.3750  0.8750  0.0000
Mg  0.6311  0.1189  0.2427
Mg  0.6311  0.1189  0.7573
Mg  0.1189  0.6311  0.2427
Mg  0.1189  0.6311  0.7573
Mg  0.6310  0.6310  0.2427
Mg  0.6310  0.6310  0.7573
Mg  0.1190  0.1190  0.2427
Mg  0.1190  0.1190  0.7573
Sc  0.8750  0.8750  0.5000

=====

[3]
Entry from Alexandria via LeMat-Bulk: a relaxed Pm2MgSc crystal (GGA-PBE).

Unit cell a=3.7429 b=5.5628 c=5.5628 alpha=90.00 beta=90.00 gamma=90.00
Element x y z (fractional)
Sc  0.5000  0.0000  0.0000
Mg  0.5000  0.5000  0.5000
Pm  0.0000  0.0000  0.5000
Pm  0.0000  0.5000  0.0000

=====

[4]
Entry from Alexandria via LeMat-Bulk: a relaxed PmMg4Sc3 crystal (GGA-PBE).

Unit cell a=5.1743 b=7.3590 c=10.3455 alpha=90.00 beta=90.00 gamma=90.00
Element x y z (fractional)
Sc  0.0000  0.0000  0.0000
Sc  0.0000  0.0000  0.5000
Sc  0.5018  0.0000  0.7500
Sc  0.4982  0.0000  0.2500
Sc  0.5016  0.5000  0.7500
Sc  0.4984  0.5000  0.2500
Mg  0.5000  0.7631  0.0000
Mg  0.5000  0.7631  0.5000
Mg  0.5000  0.2369  0.0000
Mg  0.5000  0.2369  0.5000
Mg  0.0023  0.7631  0.7500
Mg  0.9977  0.7631  0.2500
Mg  0.9977  0.2369  0.2500
Mg  0.0023  0.2369  0.7500
Pm  0.0000  0.5000  0.0000
Pm  0.0000  0.5000  0.5000

=====

no.,energy relative to the elements (kJ/mol of atoms),uncorrected energy (eV per atom)
1,-0.43,-4.49
2,-2.45,-2.11
3,0.07,-4.36
4,-4.16,-3.81